[1]
{"formula": "Na2ZnGeO4", "functional": "GGA-PBE", "state": "optimized geometry", "cell": [[6.426, 0.000, 0.000], [0.000, 6.291, 0.000], [0.000, 0.000, 5.456]], "species": ["Na", "Na", "Na", "Na", "Zn", "Zn", "Ge", "Ge", "O", "O", "O", "O", "O", "O", "O", "O"], "fractional_positions": [[0.247, 0.164, 0.000], [0.253, 0.836, 0.500], [0.747, 0.836, 0.500], [0.753, 0.164, 0.000], [0.000, 0.357, 0.507], [0.500, 0.643, 0.007], [0.000, 0.654, 0.011], [0.500, 0.346, 0.511], [0.000, 0.400, 0.870], [0.000, 0.632, 0.335], [0.230, 0.802, 0.928], [0.270, 0.198, 0.428], [0.500, 0.368, 0.835], [0.500, 0.600, 0.370], [0.730, 0.198, 0.428], [0.770, 0.802, 0.928]], "final_energy_ev_per_atom": -5.24, "volume_a3_per_atom": 13.786, "space_group": "Pmn2_1 (31)", "total_magnetization_mub_per_cell": 0.0}

[2]
{"formula": "NaZnGeO4", "functional": "GGA-PBE", "state": "optimized geometry", "cell": [[-2.726, 2.726, 3.353], [2.726, -2.726, 3.353], [2.726, 2.726, -3.353]], "species": ["Na", "Zn", "Ge", "O", "O", "O", "O"], "fractional_positions": [[0.000, 0.000, 0.000], [0.750, 0.250, 0.500], [0.500, 0.500, 0.000], [0.139, 0.526, 0.949], [0.474, 0.423, 0.613], [0.577, 0.190, 0.051], [0.810, 0.861, 0.387]], "final_energy_ev_per_atom": -5.21, "volume_a3_per_atom": 14.233, "space_group": "I-4 (82)", "total_magnetization_mub_per_cell": 1.1}

[3]
{"formula": "NaZnGe2O6", "functional": "GGA-PBE", "state": "optimized geometry", "cell": [[5.117, -5.173, 0.000], [5.117, 5.173, 0.000], [-1.794, 0.000, 5.271]], "species": ["Na", "Na", "Zn", "Zn", "Ge", "Ge", "Ge", "Ge", "O", "O", "O", "O", "O", "O", "O", "O", "O", "O", "O", "O"], "fractional_positions": [[0.100, 0.900, 0.750], [0.900, 0.100, 0.250], [0.220, 0.780, 0.250], [0.780, 0.220, 0.750], [0.226, 0.391, 0.800], [0.391, 0.226, 0.300], [0.609, 0.774, 0.700], [0.774, 0.609, 0.200], [0.037, 0.216, 0.680], [0.158, 0.620, 0.914], [0.216, 0.037, 0.180], [0.323, 0.405, 0.536], [0.380, 0.842, 0.586], [0.405, 0.323, 0.036], [0.595, 0.677, 0.964], [0.620, 0.158, 0.414], [0.677, 0.595, 0.464], [0.784, 0.963, 0.820], [0.842, 0.380, 0.086], [0.963, 0.784, 0.320]], "final_energy_ev_per_atom": -5.59, "volume_a3_per_atom": 13.954, "space_group": "C2/c (15)", "total_magnetization_mub_per_cell": 2.1}

[4]
{"formula": "Na3Zn2GeO6", "functional": "GGA-PBE", "state": "optimized geometry", "cell": [[2.657, -4.583, 0.000], [2.657, 4.583, 0.000], [-1.803, 0.000, 5.399]], "species": ["Na", "Na", "Na", "Zn", "Zn", "Ge", "O", "O", "O", "O", "O", "O"], "fractional_positions": [[0.000, 0.000, 0.000], [0.329, 0.671, 0.000], [0.671, 0.329, 0.000], [0.167, 0.833, 0.500], [0.833, 0.167, 0.500], [0.500, 0.500, 0.500], [0.126, 0.434, 0.298], [0.260, 0.260, 0.698], [0.434, 0.126, 0.298], [0.566, 0.874, 0.702], [0.740, 0.740, 0.302], [0.874, 0.566, 0.702]], "final_energy_ev_per_atom": -4.88, "volume_a3_per_atom": 10.959, "space_group": "C2/m (12)", "total_magnetization_mub_per_cell": 1.1}

[5]
{"formula": "Na4Zr2Ge3O12", "functional": "GGA-PBE", "state": "optimized geometry", "cell": [[4.802, 2.773, 7.569], [-4.802, 2.773, 7.569], [0.000, -5.545, 7.569]], "species": ["Na", "Na", "Na", "Na", "Na", "Na", "Na", "Na", "Zr", "Zr", "Zr", "Zr", "Ge", "Ge", "Ge", "Ge", "Ge", "Ge", "O", "O", "O", "O", "O", "O", "O", "O", "O", "O", "O", "O", "O", "O", "O", "O", "O", "O", "O", "O", "O", "O", "O", "O"], "fractional_positions": [[0.000, 0.000, 0.000], [0.128, 0.749, 0.370], [0.251, 0.630, 0.872], [0.370, 0.128, 0.749], [0.500, 0.500, 0.500], [0.630, 0.872, 0.251], [0.749, 0.370, 0.128], [0.872, 0.251, 0.630], [0.144, 0.144, 0.144], [0.355, 0.355, 0.355], [0.645, 0.645, 0.645], [0.856, 0.856, 0.856], [0.045, 0.455, 0.750], [0.250, 0.955, 0.545], [0.455, 0.750, 0.045], [0.545, 0.250, 0.955], [0.750, 0.045, 0.455], [0.955, 0.545, 0.250], [0.009, 0.630, 0.802], [0.068, 0.257, 0.918], [0.082, 0.932, 0.743], [0.135, 0.511, 0.292], [0.198, 0.991, 0.370], [0.236, 0.444, 0.575], [0.257, 0.918, 0.068], [0.292, 0.135, 0.511], [0.370, 0.198, 0.991], [0.425, 0.764, 0.556], [0.444, 0.575, 0.236], [0.489, 0.708, 0.865], [0.511, 0.292, 0.135], [0.556, 0.425, 0.764], [0.575, 0.236, 0.444], [0.630, 0.802, 0.009], [0.708, 0.865, 0.489], [0.743, 0.082, 0.932], [0.764, 0.556, 0.425], [0.802, 0.009, 0.630], [0.865, 0.489, 0.708], [0.918, 0.068, 0.257], [0.932, 0.743, 0.082], [0.991, 0.370, 0.198]], "final_energy_ev_per_atom": -6.77, "volume_a3_per_atom": 14.396, "space_group": "R-3 (148)", "total_magnetization_mub_per_cell": 0.0}

[6]
{"formula": "NaGeOs", "functional": "GGA-PBE", "state": "optimized geometry", "cell": [[5.466, -1.446, 0.000], [5.466, 1.446, 0.000], [-0.327, 0.000, 7.290]], "species": ["Na", "Na", "Ge", "Ge", "Os", "Os"], "fractional_positions": [[0.000, 0.000, 0.000], [0.240, 0.240, 0.685], [0.266, 0.266, 0.170], [0.497, 0.497, 0.636], [0.614, 0.614, 0.351], [0.912, 0.912, 0.379]], "volume_a3_per_atom": 19.212, "delta_e_f_ev_per_atom": 0.198, "space_group": "Cm (8)", "total_magnetization_mub_per_cell": 0.0, "polymorph_energy_mev_per_atom": 156.6}

[7]
{"formula": "NaGeOs", "functional": "GGA-PBE", "state": "optimized geometry", "cell": [[2.852, 0.000, 0.000], [-1.414, 5.261, 0.000], [-0.041, -2.651, 7.189]], "species": ["Na", "Na", "Ge", "Ge", "Os", "Os"], "fractional_positions": [[0.161, 0.307, 0.119], [0.839, 0.693, 0.881], [0.447, 0.900, 0.280], [0.553, 0.100, 0.720], [0.150, 0.295, 0.505], [0.850, 0.705, 0.495]], "volume_a3_per_atom": 17.979, "delta_e_f_ev_per_atom": 0.041, "space_group": "P-1 (2)", "total_magnetization_mub_per_cell": 0.0, "polymorph_energy_mev_per_atom": 0.0}

[8]
{"formula": "NaGeOs", "functional": "GGA-PBE", "state": "optimized geometry", "cell": [[2.855, 0.000, 0.000], [0.000, 7.521, 2.520], [0.000, -7.521, 2.520]], "species": ["Na", "Na", "Ge", "Ge", "Os", "Os"], "fractional_positions": [[0.000, 0.185, 0.815], [0.000, 0.815, 0.185], [0.500, 0.373, 0.614], [0.500, 0.614, 0.373], [0.000, 0.723, 0.723], [0.500, 0.156, 0.156]], "volume_a3_per_atom": 18.039, "delta_e_f_ev_per_atom": 0.071, "space_group": "Amm2 (38)", "total_magnetization_mub_per_cell": 0.0, "polymorph_energy_mev_per_atom": 29.6}

[9]
{"formula": "NaGeOs", "functional": "GGA-PBE", "state": "optimized geometry", "cell": [[2.965, 0.000, 0.000], [1.479, 4.336, 0.000], [0.207, 0.985, 9.886]], "species": ["Na", "Na", "Ge", "Ge", "Os", "Os"], "fractional_positions": [[0.176, 0.202, 0.152], [0.824, 0.798, 0.848], [0.090, 0.298, 0.657], [0.910, 0.702, 0.343], [0.363, 0.765, 0.559], [0.637, 0.235, 0.441]], "volume_a3_per_atom": 21.186, "delta_e_f_ev_per_atom": 0.141, "space_group": "P-1 (2)", "total_magnetization_mub_per_cell": 0.0, "polymorph_energy_mev_per_atom": 100.1}

[10]
{"formula": "NaGeOs", "functional": "GGA-PBE", "state": "optimized geometry", "cell": [[3.941, 0.000, 0.000], [0.000, 4.005, 0.000], [-0.084, 0.000, 7.416]], "species": ["Na", "Na", "Ge", "Ge", "Os", "Os"], "fractional_positions": [[0.247, 0.250, 0.354], [0.753, 0.750, 0.646], [0.263, 0.250, 0.788], [0.737, 0.750, 0.212], [0.235, 0.750, 0.998], [0.765, 0.250, 0.002]], "volume_a3_per_atom": 19.510, "delta_e_f_ev_per_atom": 0.064, "space_group": "P2_1/m (11)", "total_magnetization_mub_per_cell": 0.0, "polymorph_energy_mev_per_atom": 22.8}

[11]
{"formula": "NaGe12Os4", "functional": "GGA-PBE", "state": "optimized geometry", "cell": [[-4.396, 4.396, 4.396], [4.396, -4.396, 4.396], [4.396, 4.396, -4.396]], "species": ["Na", "Ge", "Ge", "Ge", "Ge", "Ge", "Ge", "Ge", "Ge", "Ge", "Ge", "Ge", "Ge", "Os", "Os", "Os", "Os"], "fractional_positions": [[0.000, 0.000, 0.000], [0.159, 0.499, 0.340], [0.159, 0.818, 0.660], [0.182, 0.340, 0.841], [0.340, 0.159, 0.499], [0.340, 0.841, 0.182], [0.499, 0.340, 0.159], [0.501, 0.660, 0.841], [0.660, 0.159, 0.818], [0.660, 0.841, 0.501], [0.818, 0.660, 0.159], [0.841, 0.182, 0.340], [0.841, 0.501, 0.660], [0.000, 0.000, 0.500], [0.000, 0.500, 0.000], [0.500, 0.000, 0.000], [0.500, 0.500, 0.500]], "volume_a3_per_atom": 19.988, "delta_e_f_ev_per_atom": 0.256, "space_group": "Im-3 (204)", "total_magnetization_mub_per_cell": 0.0}

[12]
{"formula": "NaGe2Os", "functional": "GGA-PBE", "state": "optimized geometry", "cell": [[2.074, 1.197, 5.445], [-2.074, 1.197, 5.445], [0.000, -2.394, 5.445]], "species": ["Na", "Ge", "Ge", "Os"], "fractional_positions": [[0.000, 0.000, 0.000], [0.215, 0.215, 0.215], [0.785, 0.785, 0.785], [0.500, 0.500, 0.500]], "volume_a3_per_atom": 20.273, "delta_e_f_ev_per_atom": 0.118, "space_group": "R-3m (166)", "total_magnetization_mub_per_cell": 0.0, "polymorph_energy_mev_per_atom": 129.2}

[13]
{"formula": "NaGeOs", "functional": "GGA-PBE", "state": "optimized geometry", "cell": [[7.797, -1.443, 0.000], [7.797, 1.443, 0.000], [-1.272, 0.000, 4.844]], "species": ["Na", "Na", "Ge", "Ge", "Os", "Os"], "fractional_positions": [[0.065, 0.065, 0.297], [0.935, 0.935, 0.703], [0.370, 0.370, 0.147], [0.630, 0.630, 0.853], [0.247, 0.247, 0.715], [0.753, 0.753, 0.285]], "volume_a3_per_atom": 18.170, "delta_e_f_ev_per_atom": 0.066, "space_group": "C2/m (12)", "total_magnetization_mub_per_cell": 0.0, "polymorph_energy_mev_per_atom": 25.2}

[14]
{"formula": "NaGeOs", "functional": "GGA-PBE", "state": "optimized geometry", "cell": [[2.811, 0.000, 0.000], [0.000, 4.088, 0.000], [0.000, 0.000, 5.494]], "species": ["Na", "Ge", "Os"], "fractional_positions": [[0.000, 0.000, 0.000], [0.000, 0.500, 0.500], [0.500, 0.000, 0.500]], "volume_a3_per_atom": 21.048, "delta_e_f_ev_per_atom": 0.199, "space_group": "Pmmm (47)", "total_magnetization_mub_per_cell": 0.0, "polymorph_energy_mev_per_atom": 157.9}

[15]
{"formula": "NaGe2Os", "functional": "GGA-PBE", "state": "optimized geometry", "cell": [[0.000, 3.160, 3.160], [3.160, 0.000, 3.160], [3.160, 3.160, 0.000]], "species": ["Na", "Ge", "Ge", "Os"], "fractional_positions": [[0.000, 0.000, 0.000], [0.250, 0.250, 0.250], [0.750, 0.750, 0.750], [0.500, 0.500, 0.500]], "volume_a3_per_atom": 15.782, "delta_e_f_ev_per_atom": 0.247, "space_group": "Fm-3m (225)", "total_magnetization_mub_per_cell": 0.0, "polymorph_energy_mev_per_atom": 258.3}

[16]
{"formula": "NaGeOs", "functional": "GGA-PBE", "state": "optimized geometry", "cell": [[2.862, 0.000, 0.000], [0.000, 3.863, 0.000], [0.000, 0.000, 10.771]], "species": ["Na", "Na", "Ge", "Ge", "Os", "Os"], "fractional_positions": [[0.250, 0.250, 0.136], [0.750, 0.750, 0.864], [0.250, 0.250, 0.681], [0.750, 0.750, 0.319], [0.250, 0.250, 0.443], [0.750, 0.750, 0.557]], "volume_a3_per_atom": 19.846, "delta_e_f_ev_per_atom": 0.161, "space_group": "Pmmn (59)", "total_magnetization_mub_per_cell": 0.0, "polymorph_energy_mev_per_atom": 119.5}

[17]
{"formula": "NaGe2Os", "functional": "GGA-PBE", "state": "optimized geometry", "cell": [[-2.899, 2.899, 7.249], [2.899, -2.899, 7.249], [2.899, 2.899, -7.249]], "species": ["Na", "Na", "Ge", "Ge", "Ge", "Ge", "Os", "Os"], "fractional_positions": [[0.375, 0.625, 0.750], [0.625, 0.375, 0.250], [0.000, 0.000, 0.000], [0.000, 0.000, 0.500], [0.000, 0.500, 0.000], [0.500, 0.000, 0.500], [0.125, 0.875, 0.250], [0.875, 0.125, 0.750]], "volume_a3_per_atom": 30.458, "delta_e_f_ev_per_atom": 0.278, "space_group": "I4_1/amd (141)", "total_magnetization_mub_per_cell": 0.0, "polymorph_energy_mev_per_atom": 289.0}

[18]
{"formula": "Na2GeOs", "functional": "GGA-PBE", "state": "optimized geometry", "cell": [[-4.070, 4.070, 2.451], [4.070, -4.070, 2.451], [4.070, 4.070, -2.451]], "species": ["Na", "Na", "Na", "Na", "Ge", "Ge", "Os", "Os"], "fractional_positions": [[0.122, 0.625, 0.997], [0.375, 0.372, 0.497], [0.628, 0.125, 0.003], [0.875, 0.878, 0.503], [0.000, 0.000, 0.000], [0.750, 0.250, 0.500], [0.250, 0.750, 0.500], [0.500, 0.500, 0.000]], "volume_a3_per_atom": 20.304, "delta_e_f_ev_per_atom": 0.777, "space_group": "I-42d (122)", "total_magnetization_mub_per_cell": 0.0}

[19]
{"formula": "NaGeOs", "functional": "GGA-PBE", "state": "optimized geometry", "cell": [[3.047, 0.000, 0.000], [0.000, 4.452, 0.000], [0.000, 0.000, 8.115]], "species": ["Na", "Na", "Ge", "Ge", "Os", "Os"], "fractional_positions": [[0.250, 0.250, 0.124], [0.750, 0.750, 0.876], [0.250, 0.250, 0.706], [0.750, 0.750, 0.294], [0.250, 0.750, 0.545], [0.750, 0.250, 0.455]], "volume_a3_per_atom": 18.347, "delta_e_f_ev_per_atom": 0.090, "space_group": "Pmmn (59)", "total_magnetization_mub_per_cell": 0.0, "polymorph_energy_mev_per_atom": 48.5}

[20]
{"formula": "NaGe2Os", "functional": "GGA-PBE", "state": "optimized geometry", "cell": [[3.057, 0.000, 0.000], [0.000, 3.057, 0.000], [0.000, 0.000, 7.771]], "species": ["Na", "Ge", "Ge", "Os"], "fractional_positions": [[0.000, 0.000, 0.000], [0.500, 0.500, 0.304], [0.500, 0.500, 0.696], [0.000, 0.000, 0.500]], "volume_a3_per_atom": 18.161, "delta_e_f_ev_per_atom": -0.011, "space_group": "P4/mmm (123)", "total_magnetization_mub_per_cell": 0.0, "polymorph_energy_mev_per_atom": 0.0}